Entry from Alexandria via LeMat-Bulk: a geometry-optimized NiBIr2F structure (PBE+U).

POSCAR file:
```
NiBIr2F
1.0
-1.6182 -3.5375 1.9538
3.3461 -1.2575 0.4945
0.1961 2.0334 3.8440
Ni B Ir F
1 1 2 1
direct
0.0000 0.5000 0.0000
0.5000 0.5000 0.5000
0.0000 0.0000 0.5000
0.5000 0.0000 0.0000
0.0000 0.0000 0.0000
```

- V (Å³/atom) = 13.7
- D(E_F) (states/eV/cell) = 4.5
- E (hartree per atom) = -0.153
- space group = No. 123